{"formula": "RbInS2", "functional": "SCAN", "state": "single point on PBEsol structure", "lattice": [[7.8007, 0.0017, -0.0018], [-0.0009, 7.8007, -0.0018], [-1.9510, -1.9517, 15.3119]], "species": ["In", "S", "S", "S", "S", "S", "In", "S", "S", "In", "Rb", "Rb", "In", "S", "Rb", "In", "S", "Rb", "In", "In", "S", "S", "In", "S", "S", "S", "Rb", "S", "S", "Rb", "Rb", "Rb"], "frac_coords": [[0.2099, 0.5863, 0.8401], [0.0737, 0.4489, 0.2503], [0.5511, 0.9263, 0.2497], [0.0737, 0.9263, 0.2500], [0.7656, 0.1403, 0.0613], [0.4488, 0.5512, 0.7500], [0.4137, 0.7901, 0.6599], [0.2336, 0.3595, 0.9377], [0.4489, 0.0737, 0.7503], [0.7901, 0.4137, 0.1599], [0.8463, 0.7220, 0.3866], [0.3475, 0.7230, 0.3886], [0.9163, 0.7900, 0.6598], [0.3595, 0.2336, 0.4377], [0.2780, 0.1537, 0.1134], [0.7900, 0.9163, 0.1598], [0.2344, 0.8597, 0.9387], [0.6525, 0.2770, 0.6114], [0.0837, 0.2100, 0.3402], [0.5863, 0.2099, 0.3401], [0.7664, 0.6405, 0.0623], [0.9263, 0.0737, 0.7500], [0.2100, 0.0837, 0.8402], [0.9263, 0.5511, 0.7497], [0.6405, 0.7664, 0.5623], [0.8597, 0.2344, 0.4387], [0.7230, 0.3475, 0.8886], [0.1403, 0.7656, 0.5613], [0.5512, 0.4488, 0.2500], [0.7220, 0.8463, 0.8866], [0.2770, 0.6525, 0.1114], [0.1537, 0.2780, 0.6134]]}

=====

{"formula": "RbIn2Sb2", "functional": "SCAN", "state": "single point on PBEsol structure", "lattice": [[5.3621, 0.0000, 0.0000], [0.0000, 5.3621, 0.0000], [-2.6810, -2.6810, 5.4775]], "species": ["Sb", "In", "Rb", "In", "Sb"], "frac_coords": [[0.2500, 0.7500, 0.5000], [0.3708, 0.3708, 0.7416], [0.0000, 0.0000, 0.0000], [0.6292, 0.6292, 0.2584], [0.7500, 0.2500, 0.5000]]}

=====

{"formula": "RbIn2Se2", "functional": "SCAN", "state": "single point on PBEsol structure", "lattice": [[-2.8330, -3.3209, -1.0199], [0.8619, -1.9469, 3.9448], [-4.3833, 6.2983, 1.5192]], "species": ["In", "Se", "Rb", "Se", "In"], "frac_coords": [[0.7500, 0.2500, 0.5000], [0.4106, 0.4106, 0.8212], [0.0000, 0.0000, 0.0000], [0.5894, 0.5894, 0.1788], [0.2500, 0.7500, 0.5000]]}

=====

Number 1: DOS(E_F) 0.0 states/eV per cell, uncorrected energy -19.48 eV per atom, ΔE_f (raw) -436.8 kJ/mol of formula units. Number 2: DOS(E_F) 1.6 states/eV per cell, uncorrected energy -32.68 eV per atom, ΔE_f (raw) -132.2 kJ/mol of formula units. Number 3: DOS(E_F) 1.4 states/eV per cell, uncorrected energy -26.02 eV per atom, ΔE_f (raw) -236.9 kJ/mol of formula units.